{
  "formula": "LiScCoO3",
  "functional": "PBE+U",
  "state": "optimized geometry",
  "energy_ev_per_atom": -6.95,
  "space_group": "P1",
  "density_g_cm3": 4.41,
  "cell": [[-2.903, 0.906, 0.398], [-1.596, -4.084, -3.174], [1.361, -2.854, 7.003]],
  "species": ["Li", "Li", "O", "O", "O", "O", "O", "O", "Co", "Co", "Sc", "Sc"],
  "frac_coords": [[0.679, 0.634, 0.635], [0.072, 0.363, 0.367], [0.312, 0.603, 0.847], [0.937, 0.903, 0.156], [0.125, 0.754, 0.498], [0.814, 0.101, 0.845], [0.624, 0.241, 0.501], [0.438, 0.404, 0.153], [0.560, 0.845, 0.354], [0.189, 0.147, 0.644], [0.376, 0.004, 0.001], [0.874, 0.502, 0.998]]
}